# 1
This record from the Alexandria database describes a relaxed structure of Co4Rh3. The functional is PBEsol.

Summary:
uncorrected energy: -7.837 eV/atom
E_form: 7 kJ per mole of atoms
size of the total moment: 14.46 μB/cell
D(E_F): 1.34 states/eV per atom

```
data_Co4Rh3
_chemical_formula_sum 'Co8 Rh6'
_cell_length_a 2.5987
_cell_length_b 2.5987
_cell_length_c 24.4837
_cell_angle_alpha 90.00
_cell_angle_beta 90.00
_cell_angle_gamma 90.00
_symmetry_space_group_name_H-M 'I 4/m m m'
_symmetry_Int_Tables_number 139
_symmetry_space_group_name_Hall '-I 4 2'
loop_
_atom_site_label
_atom_site_fract_x
_atom_site_fract_y
_atom_site_fract_z
Co1 0.0000 0.0000 0.0735
Co2 0.0000 0.0000 0.3626
Rh1 0.0000 0.0000 0.2108
Rh2 0.0000 0.0000 0.5000
```

=====

# 2
This record from the Alexandria database describes a relaxed structure of Y2MnSi. The functional is PBEsol.

Summary:
uncorrected energy: -7.650 eV/atom
formation energy without anion corrections: -0.362 eV/atom
size of the total moment: 4.45 μB/cell
D(E_F): 1.22 states/eV per atom

```
data_Y2MnSi
_chemical_formula_sum 'Y4 Mn2 Si2'
_cell_length_a 4.0591
_cell_length_b 3.9541
_cell_length_c 10.6894
_cell_angle_alpha 90.00
_cell_angle_beta 90.00
_cell_angle_gamma 90.00
_symmetry_space_group_name_H-M 'A m m 2'
_symmetry_Int_Tables_number 38
_symmetry_space_group_name_Hall 'A 2 -2'
loop_
_atom_site_label
_atom_site_fract_x
_atom_site_fract_y
_atom_site_fract_z
Y1 0.0000 0.0000 0.0000
Y2 0.5000 0.0000 0.2873
Mn1 0.0000 0.0000 0.7090
Si1 0.5000 0.0000 0.5792
```

=====

# 3
This record from the Alexandria database describes a relaxed structure of SrMgAl2. The functional is PBEsol.

Summary:
uncorrected energy: -2.952 eV/atom
E_form: -2 kJ per mole of atoms
size of the total moment: 0.00 μB/cell
D(E_F): 0.60 states/eV per atom

```
data_SrMgAl2
_chemical_formula_sum 'Sr1 Mg1 Al2'
_cell_length_a 3.5210
_cell_length_b 3.5210
_cell_length_c 7.8340
_cell_angle_alpha 90.00
_cell_angle_beta 90.00
_cell_angle_gamma 90.00
_symmetry_space_group_name_H-M 'P 4 m m'
_symmetry_Int_Tables_number 99
_symmetry_space_group_name_Hall 'P 4 -2'
loop_
_atom_site_label
_atom_site_fract_x
_atom_site_fract_y
_atom_site_fract_z
Sr1 0.0000 0.0000 0.0000
Mg1 0.5000 0.5000 0.6700
Al1 0.0000 0.0000 0.4561
Al2 0.5000 0.5000 0.2898
```

=====

# 4
This record from the Alexandria database describes a relaxed structure of Li2VP2O7. The functional is PBEsol.

Summary:
uncorrected energy: -7.371 eV/atom
formation energy without anion corrections: -2.213 eV/atom
size of the total moment: 6.00 μB/cell

```
data_Li2VP2O7
_chemical_formula_sum 'Li4 V2 P4 O14'
_cell_length_a 5.0008
_cell_length_b 8.2960
_cell_length_c 7.0351
_cell_angle_alpha 90.00
_cell_angle_beta 109.20
_cell_angle_gamma 90.00
_symmetry_space_group_name_H-M 'P 1 21 1'
_symmetry_Int_Tables_number 4
_symmetry_space_group_name_Hall 'P 2yb'
loop_
_atom_site_label
_atom_site_fract_x
_atom_site_fract_y
_atom_site_fract_z
Li1 0.1677 0.0000 0.1490
Li2 0.2811 0.3181 0.5978
V1 0.2082 0.6501 0.2214
P1 0.2060 0.9415 0.5861
P2 0.3921 0.3320 0.0219
O1 0.0742 0.4687 0.3763
O2 0.1382 0.8502 0.3860
O3 0.2028 0.1838 0.9922
O4 0.2308 0.4897 0.0050
O5 0.3769 0.0943 0.5893
O6 0.3939 0.8153 0.7506
O7 0.4323 0.8349 0.1218
```